VASP calculation (PBE) on an optimized crystal structure of Cu2C.

```
3
Lattice="2.909 0.000 0.000 0.000 2.909 0.000 0.000 0.000 3.835" Properties=species:S:1:pos:R:3 pbc="T T T"
Cu 0.000 0.000 0.000
Cu 1.455 1.455 1.918
C 0.000 0.000 1.918
```

Output
Offset from the most stable computed form, eV/atom: 0.217
Space-group type: P4/mmm
Final energy, eV/atom: -4.924
DOS(E_F), states/eV/cell: 0.99
Size of the total moment, μB/atom: 0.0000

***

VASP calculation (PBE) on an optimized crystal structure of CuC2.

```
3
Lattice="0.000 1.797 4.441 1.604 0.000 4.441 1.604 1.797 0.000" Properties=species:S:1:pos:R:3 pbc="T T T"
Cu 0.000 0.000 0.000
C 1.604 1.797 2.048
C 1.604 1.797 6.834
```

Output
Offset from the most stable computed form, eV/atom: 1.732
Space-group type: Fmmm
Final energy, eV/atom: -5.549
DOS(E_F), states/eV/cell: 1.34
Size of the total moment, μB/atom: 0.0000

***

VASP calculation (PBE) on an optimized crystal structure of CuC2.

```
6
Lattice="-1.244 3.680 4.248 1.244 -3.680 4.248 1.244 3.680 -4.248" Properties=species:S:1:pos:R:3 pbc="T T T"
Cu 0.000 1.840 1.027
Cu 1.244 1.840 3.221
C 1.244 1.840 -1.740
C 1.244 1.840 -0.396
C 0.000 1.840 4.645
C 0.000 1.840 5.989
```

Output
Offset from the most stable computed form, eV/atom: 0.630
Space-group type: Imma
Final energy, eV/atom: -6.651
DOS(E_F), states/eV/cell: 1.72
Size of the total moment, μB/atom: 0.0000

***

VASP calculation (PBE) on an optimized crystal structure of CuC2.

```
9
Lattice="3.299 -4.210 0.000 3.299 4.210 0.000 -1.435 0.000 4.261" Properties=species:S:1:pos:R:3 pbc="T T T"
Cu 0.000 0.000 0.000
Cu 2.582 2.997 2.130
Cu 2.582 -2.997 2.130
C 1.149 0.000 1.556
C 1.974 1.125 1.873
C 3.190 1.125 2.387
C 1.974 -1.125 1.873
C 3.190 -1.125 2.387
C 4.015 0.000 2.704
```

Output
Offset from the most stable computed form, eV/atom: 0.849
Space-group type: C2/m
Final energy, eV/atom: -6.432
DOS(E_F), states/eV/cell: 2.54
Size of the total moment, μB/atom: 0.0000

***

VASP calculation (PBE) on an optimized crystal structure of CuC2.

```
6
Lattice="3.433 -1.249 0.000 3.433 1.249 0.000 -0.217 0.000 6.376" Properties=species:S:1:pos:R:3 pbc="T T T"
Cu 1.013 0.000 0.814
Cu 5.636 0.000 5.562
C 0.177 0.000 3.865
C 2.728 0.000 1.862
C 3.921 0.000 4.513
C 6.472 0.000 2.510
```

Output
Offset from the most stable computed form, eV/atom: 0.398
Space-group type: C2/m
Final energy, eV/atom: -6.883
DOS(E_F), states/eV/cell: 1.64
Size of the total moment, μB/atom: 0.0000

***

VASP calculation (PBE) on an optimized crystal structure of Cu2C.

```
9
Lattice="2.657 0.000 0.000 -1.328 2.301 0.000 0.000 0.000 16.509" Properties=species:S:1:pos:R:3 pbc="T T T"
Cu 0.000 0.000 1.277
Cu 0.000 0.000 15.232
Cu 0.000 1.534 9.610
Cu 0.000 1.534 12.087
Cu 1.328 0.767 4.422
Cu 1.328 0.767 6.899
C 0.000 0.000 8.254
C 0.000 1.534 13.976
C 1.328 0.767 2.533
```

Output
Offset from the most stable computed form, eV/atom: 0.574
Space-group type: P-3m1
Final energy, eV/atom: -4.567
DOS(E_F), states/eV/cell: 4.69
Size of the total moment, μB/atom: 0.0000

***

no.,DFT formation energy (eV/atom)
1,0.88
2,1.97
3,0.86
4,1.08
5,0.63
6,1.24